A plane-wave DFT calculation with PBE-GGA was carried out for a relaxed CeEr2Au crystal.

Structure (extended XYZ):
```
4
Lattice="-2.039 1.098 2.830 -2.435 -2.283 1.494 5.448 -3.687 7.718" Properties=species:S:1:pos:R:3 pbc="T T T"
Ce 0.469 -2.427 6.005
Er -0.048 -1.080 2.747
Er 4.007 -3.004 6.415
Au -2.968 -0.797 2.896
```

Properties
- Relative energy among the computed polymorphs: 145 meV/atom
- V: 114.9 Å³/cell
- Space-group type: R3m, No. 160
- Energy of formation from the pure elements: -0.233 eV/atom